Computed, not measured: an optimized crystal structure of CeEuIr at the GGA-PBE level of DFT.

Its energy relative to the lowest polymorph listed for this composition is 0 meV per atom. Its energy of formation is -1.3 eV per formula unit. For the total energy, the calculation gives -26.3 eV/f.u. The volume comes out at 31.2 Å³/atom.

The space group is P3m1 (No. 156) and the conventional cell measures 4.1103, 4.1103 and 6.3952 Å, with angles of 90.00, 90.00 and 120.00 degrees. The asymmetric unit holds Ce at (0.0000, 0.0000, 0.0000), Eu at (0.3333, 0.6667, 0.4876) and Ir at (0.6667, 0.3333, 0.2117).